# 1
# As3Os PBE relaxed
data_As3Os
_chemical_formula_sum 'As12 Os4'
_cell_length_a 5.8597
_cell_length_b 5.8597
_cell_length_c 9.2804
_cell_angle_alpha 90.00
_cell_angle_beta 90.00
_cell_angle_gamma 120.00
_symmetry_space_group_name_H-M 'P 1'
_symmetry_Int_Tables_number 1
loop_
_symmetry_equiv_pos_as_xyz
'x,y,z'
loop_
_atom_site_label
_atom_site_type_symbol
_atom_site_fract_x
_atom_site_fract_y
_atom_site_fract_z
Os1 Os 0.0000 0.0000 0.0000
Os2 Os 0.3333 0.6667 0.2500
As1 As 0.5000 0.5000 0.5000
As2 As 0.5000 0.5000 0.0000
As3 As 0.3037 0.1519 0.2500
As4 As 0.5000 0.0000 0.0000
Os3 Os 0.0000 0.0000 0.5000
As5 As 0.5000 0.0000 0.5000
As6 As 0.1519 0.3037 0.7500
Os4 Os 0.6667 0.3333 0.7500
As7 As 0.0000 0.5000 0.0000
As8 As 0.6963 0.8481 0.7500
As9 As 0.8481 0.6963 0.2500
As10 As 0.8481 0.1519 0.2500
As11 As 0.1519 0.8481 0.7500
As12 As 0.0000 0.5000 0.5000
# E = -5.58 eV per atom
# Fermi-level density of states = 0.5392 states/eV/atom
# Crystal system = hexagonal
# Magnetic moment = 0.00 μB/cell
# SG = P6_3/mmc (194)
# Energy of formation from the pure elements = 0.715 eV per atom

=====

# 2
# As2Os PBE relaxed
data_As2Os
_chemical_formula_sum 'As4 Os2'
_cell_length_a 4.4732
_cell_length_b 4.4732
_cell_length_c 5.6699
_cell_angle_alpha 90.00
_cell_angle_beta 90.00
_cell_angle_gamma 120.00
_symmetry_space_group_name_H-M 'P 1'
_symmetry_Int_Tables_number 1
loop_
_symmetry_equiv_pos_as_xyz
'x,y,z'
loop_
_atom_site_label
_atom_site_type_symbol
_atom_site_fract_x
_atom_site_fract_y
_atom_site_fract_z
As1 As 0.0000 0.0000 0.5000
Os1 Os 0.6667 0.3333 0.2500
As2 As 0.6667 0.3333 0.7500
Os2 Os 0.3333 0.6667 0.7500
As3 As 0.3333 0.6667 0.2500
As4 As 0.0000 0.0000 0.0000
# E = -6.23 eV per atom
# Fermi-level density of states = 0.7025 states/eV/atom
# Crystal system = hexagonal
# Magnetic moment = 0.00 μB/cell
# SG = P6_3/mmc (194)
# Energy of formation from the pure elements = 0.614 eV per atom

=====

# 3
# As2Os3 PBE relaxed
data_As2Os3
_chemical_formula_sum 'As2 Os3'
_cell_length_a 10.2856
_cell_length_b 10.2856
_cell_length_c 10.2856
_cell_angle_alpha 16.27
_cell_angle_beta 16.27
_cell_angle_gamma 16.27
_symmetry_space_group_name_H-M 'P 1'
_symmetry_Int_Tables_number 1
loop_
_symmetry_equiv_pos_as_xyz
'x,y,z'
loop_
_atom_site_label
_atom_site_type_symbol
_atom_site_fract_x
_atom_site_fract_y
_atom_site_fract_z
As1 As 0.3975 0.3975 0.3975
Os1 Os 0.7998 0.7998 0.7998
Os2 Os 0.0000 0.0000 0.0000
Os3 Os 0.2002 0.2002 0.2002
As2 As 0.6025 0.6025 0.6025
# E = -8.23 eV per atom
# Fermi-level density of states = 0.5807 states/eV/atom
# Crystal system = trigonal
# Magnetic moment = 0.00 μB/cell
# SG = R-3m (166)
# Energy of formation from the pure elements = 0.368 eV per atom

=====

# 4
# As3Os PBE relaxed
data_As3Os
_chemical_formula_sum 'As3 Os1'
_cell_length_a 8.8455
_cell_length_b 8.8454
_cell_length_c 8.8455
_cell_angle_alpha 20.01
_cell_angle_beta 20.01
_cell_angle_gamma 20.01
_symmetry_space_group_name_H-M 'P 1'
_symmetry_Int_Tables_number 1
loop_
_symmetry_equiv_pos_as_xyz
'x,y,z'
loop_
_atom_site_label
_atom_site_type_symbol
_atom_site_fract_x
_atom_site_fract_y
_atom_site_fract_z
As1 As 0.5000 0.5000 0.5000
Os1 Os 0.0000 0.0000 0.0000
As2 As 0.7381 0.7381 0.7381
As3 As 0.2619 0.2619 0.2619
# E = -6.00 eV per atom
# Fermi-level density of states = 0.7424 states/eV/atom
# Crystal system = trigonal
# Magnetic moment = 0.00 μB/cell
# SG = R-3m (166)
# Energy of formation from the pure elements = 0.294 eV per atom

=====

# 5
# As4Os3 PBE relaxed
data_As4Os3
_chemical_formula_sum 'As4 Os3'
_cell_length_a 10.2525
_cell_length_b 10.2525
_cell_length_c 10.2525
_cell_angle_alpha 160.93
_cell_angle_beta 160.93
_cell_angle_gamma 27.10
_symmetry_space_group_name_H-M 'P 1'
_symmetry_Int_Tables_number 1
loop_
_symmetry_equiv_pos_as_xyz
'x,y,z'
loop_
_atom_site_label
_atom_site_type_symbol
_atom_site_fract_x
_atom_site_fract_y
_atom_site_fract_z
As1 As 0.5681 0.5681 0.0000
As2 As 0.1671 0.1671 0.0000
As3 As 0.4319 0.4319 0.0000
Os1 Os 0.0000 0.0000 0.0000
Os2 Os 0.2965 0.2965 0.0000
As4 As 0.8329 0.8329 0.0000
Os3 Os 0.7035 0.7035 0.0000
# E = -6.93 eV per atom
# Fermi-level density of states = 0.9235 states/eV/atom
# Crystal system = tetragonal
# Magnetic moment = 0.91 μB/cell
# SG = I4/mmm (139)
# Energy of formation from the pure elements = 0.535 eV per atom

=====

# 6
# As2Os PBE relaxed
data_As2Os
_chemical_formula_sum 'As6 Os3'
_cell_length_a 7.3234
_cell_length_b 7.3234
_cell_length_c 3.1266
_cell_angle_alpha 90.00
_cell_angle_beta 90.00
_cell_angle_gamma 120.00
_symmetry_space_group_name_H-M 'P 1'
_symmetry_Int_Tables_number 1
loop_
_symmetry_equiv_pos_as_xyz
'x,y,z'
loop_
_atom_site_label
_atom_site_type_symbol
_atom_site_fract_x
_atom_site_fract_y
_atom_site_fract_z
As1 As 0.0000 0.6111 0.5000
As2 As 0.7141 0.7141 0.0000
Os1 Os 0.6667 0.3333 0.0000
As3 As 0.2859 0.0000 0.0000
Os2 Os 0.3333 0.6667 0.0000
As4 As 0.0000 0.2859 0.0000
As5 As 0.3889 0.3889 0.5000
Os3 Os 0.0000 0.0000 0.5000
As6 As 0.6111 0.0000 0.5000
# E = -6.57 eV per atom
# Fermi-level density of states = 0.4937 states/eV/atom
# Crystal system = hexagonal
# Magnetic moment = 0.00 μB/cell
# SG = P-62m (189)
# Energy of formation from the pure elements = 0.268 eV per atom

=====

# 7
# As2Os PBE relaxed
data_As2Os
_chemical_formula_sum 'As2 Os1'
_cell_length_a 4.6193
_cell_length_b 4.6193
_cell_length_c 2.7521
_cell_angle_alpha 90.00
_cell_angle_beta 90.00
_cell_angle_gamma 120.00
_symmetry_space_group_name_H-M 'P 1'
_symmetry_Int_Tables_number 1
loop_
_symmetry_equiv_pos_as_xyz
'x,y,z'
loop_
_atom_site_label
_atom_site_type_symbol
_atom_site_fract_x
_atom_site_fract_y
_atom_site_fract_z
As1 As 0.3333 0.6667 0.0192
As2 As 0.6667 0.3333 0.9808
Os1 Os 0.0000 0.0000 0.0000
# E = -6.34 eV per atom
# Fermi-level density of states = 0.9312 states/eV/atom
# Crystal system = trigonal
# Magnetic moment = 0.00 μB/cell
# SG = P-3m1 (164)
# Energy of formation from the pure elements = 0.505 eV per atom

=====

# 8
# AsOs5 PBE relaxed
data_AsOs5
_chemical_formula_sum 'As1 Os5'
_cell_length_a 5.1511
_cell_length_b 5.1511
_cell_length_c 5.1511
_cell_angle_alpha 60.00
_cell_angle_beta 60.00
_cell_angle_gamma 60.00
_symmetry_space_group_name_H-M 'P 1'
_symmetry_Int_Tables_number 1
loop_
_symmetry_equiv_pos_as_xyz
'x,y,z'
loop_
_atom_site_label
_atom_site_type_symbol
_atom_site_fract_x
_atom_site_fract_y
_atom_site_fract_z
Os1 Os 0.3756 0.3756 0.3756
Os2 Os 0.7500 0.7500 0.7500
As1 As 0.0000 0.0000 0.0000
Os3 Os 0.8733 0.3756 0.3756
Os4 Os 0.3756 0.3756 0.8733
Os5 Os 0.3756 0.8733 0.3756
# E = -8.99 eV per atom
# Fermi-level density of states = 1.5422 states/eV/atom
# Crystal system = cubic
# Magnetic moment = 0.00 μB/cell
# SG = F-43m (216)
# Energy of formation from the pure elements = 1.143 eV per atom

=====

Which of these has the highest E?
number 1